[1]
Computed, not measured: a relaxed structure of NaSb2Br at the PBE-GGA level of DFT.

POSCAR file:
```
NaSb2Br
1.0
7.620 0.000 0.000
0.000 7.620 0.000
0.000 0.000 7.620
Na Sb Br
4 8 4
Cartesian
0.000 0.000 0.000
0.000 3.810 3.810
3.810 0.000 3.810
3.810 3.810 0.000
1.905 1.905 1.905
1.905 1.905 5.715
1.905 5.715 1.905
1.905 5.715 5.715
5.715 1.905 1.905
5.715 1.905 5.715
5.715 5.715 1.905
5.715 5.715 5.715
0.000 0.000 3.810
0.000 3.810 0.000
3.810 0.000 0.000
3.810 3.810 3.810
```

Computed properties:
symmetry: Fm-3m, No. 225
energy relative to the elements, uncorrected: 0.20 eV/atom
crystal system: cubic
energy relative to the lowest polymorph listed for this composition: 2.60 eV per formula unit
total energy: -2.612 eV/atom
magnetic moment: 0.00 Bohr magnetons per cell

***

[2]
Computed, not measured: a relaxed structure of Na5Sb3Br12 at the PBE-GGA level of DFT.

POSCAR file:
```
Na5Sb3Br12
1.0
-8.939 8.939 8.939
8.939 -8.939 8.939
8.939 8.939 -8.939
Na Sb Br
20 12 48
Cartesian
0.000 0.000 0.000
4.469 4.469 -4.469
4.469 -4.469 4.469
8.939 0.000 0.000
13.408 2.235 0.000
8.939 -4.469 6.704
6.704 8.939 -4.469
6.704 0.000 4.469
4.469 6.704 0.000
8.939 4.469 2.235
-4.469 4.469 4.469
0.000 8.939 0.000
0.000 0.000 8.939
4.469 4.469 4.469
0.000 4.469 6.704
4.469 2.235 8.939
2.235 8.939 4.469
2.235 0.000 13.408
0.000 13.408 2.235
-4.469 6.704 8.939
4.469 2.235 0.000
8.939 4.469 -2.235
2.235 0.000 4.469
11.174 0.000 4.469
0.000 4.469 2.235
4.469 -2.235 8.939
4.469 11.174 0.000
8.939 4.469 6.704
-2.235 8.939 4.469
6.704 8.939 4.469
0.000 4.469 11.174
4.469 6.704 8.939
2.870 -0.022 0.804
10.539 5.274 -4.491
11.809 0.022 0.804
10.539 -3.665 4.491
8.917 -0.804 2.870
13.430 -1.600 3.665
0.804 2.870 -0.022
12.604 4.448 -1.600
5.274 4.491 -1.600
8.135 2.870 0.022
-0.022 0.804 2.870
4.491 -1.600 5.274
8.917 8.135 -2.870
4.491 1.600 3.665
5.274 -4.491 10.539
8.135 -2.870 8.917
3.665 4.491 1.600
9.743 6.069 0.022
4.491 10.539 -3.665
8.917 0.804 6.069
2.870 8.917 -0.804
10.539 3.665 4.448
1.600 3.665 4.491
2.870 0.022 8.135
6.069 8.917 0.804
7.339 5.274 4.448
-1.600 5.274 4.491
6.069 0.022 9.743
0.022 8.135 2.870
4.448 -1.600 12.604
-0.804 2.870 8.917
5.274 4.448 7.339
0.804 11.809 0.022
3.665 13.430 -1.600
4.448 7.339 5.274
0.022 0.804 11.809
4.448 10.539 3.665
8.961 8.135 6.069
0.804 6.069 8.917
3.665 4.448 10.539
-3.665 4.491 10.539
8.135 6.069 8.961
-4.491 10.539 5.274
0.022 9.743 6.069
-1.600 12.604 4.448
-2.870 8.917 8.135
-1.600 3.665 13.430
6.069 8.961 8.135
```

Computed properties:
symmetry: Ia-3d, No. 230
energy relative to the elements, uncorrected: -0.86 eV/atom
crystal system: cubic
total energy: -2.809 eV/atom
magnetic moment: 0.00 Bohr magnetons per cell

***

[3]
Computed, not measured: a relaxed structure of Na2SbBr at the PBE-GGA level of DFT.

POSCAR file:
```
Na2SbBr
1.0
3.823 0.000 0.000
-1.912 3.311 0.000
0.000 0.000 29.143
Na Sb Br
6 3 3
Cartesian
0.000 0.000 2.969
0.000 0.000 26.174
0.000 2.207 16.460
0.000 2.207 22.398
1.912 1.104 6.745
1.912 1.104 12.684
0.000 0.000 0.000
0.000 2.207 19.429
1.912 1.104 9.714
0.000 0.000 14.572
0.000 2.207 4.857
1.912 1.104 24.286
```

Computed properties:
symmetry: R-3m, No. 166
energy relative to the elements, uncorrected: -0.65 eV/atom
crystal system: trigonal
energy relative to the lowest polymorph listed for this composition: 0.60 eV per formula unit
total energy: -2.763 eV/atom
magnetic moment: 0.00 Bohr magnetons per cell

***

[4]
Computed, not measured: a relaxed structure of NaSb3Br at the PBE-GGA level of DFT.

POSCAR file:
```
NaSb3Br
1.0
5.468 0.000 0.000
0.000 5.468 0.000
0.000 0.000 5.468
Na Sb Br
1 3 1
Cartesian
0.000 0.000 0.000
0.000 0.000 2.734
0.000 2.734 0.000
2.734 0.000 0.000
2.734 2.734 2.734
```

Computed properties:
symmetry: Pm-3m, No. 221
energy relative to the elements, uncorrected: 0.76 eV/atom
crystal system: cubic
energy relative to the lowest polymorph listed for this composition: 0.73 eV per formula unit
total energy: -2.316 eV/atom
magnetic moment: 0.00 Bohr magnetons per cell